Compound: TaPSe2
Source: the Alexandria database
Functional: PBE
Structure: optimized geometry

Properties
ΔE_f (raw) ... -0.220 eV per atom
Crystal system ... monoclinic

```
TaPSe2
1.0
7.058 -1.629 0.000
7.058 1.629 0.000
-0.558 0.000 4.109
Ta P Se
1 1 2
direct
0.000 0.000 0.000
0.500 0.500 0.500
0.355 0.355 0.803
0.645 0.645 0.197
```